Record 1
# AuI3N

A relaxed AuI3N crystal (GGA-PBE, Alexandria via LeMat-Bulk).

For the density of states at the Fermi level, the calculation gives 0.1 states/eV/f.u. The uncorrected formation energy is 1019 meV per atom. For the energy above the most stable polymorph in this dataset, the calculation gives 300 meV/atom. For the uncorrected energy, the calculation gives -2.23 eV/atom.

The space group is P2_1/c (No. 14) and the conventional cell measures 7.6552, 11.4151 and 12.4373 Å, with angles of 90.00, 127.97 and 90.00 degrees. The asymmetric unit holds Au at (0.0000, 0.0000, 0.0000), Au at (0.5000, 0.0000, 0.5000), I at (0.1141, 0.0772, 0.2501), I at (0.3127, 0.1453, 0.5661), I at (0.3200, 0.6450, 0.5662) and N at (0.3470, 0.6120, 0.2493).

***

Record 2
# ScCo2Hg

A relaxed ScCo2Hg crystal (GGA-PBE, Alexandria via LeMat-Bulk).

For the density of states at the Fermi level, the calculation gives 3.4 states/eV/f.u. The energy of formation is -26.1 meV/atom. For the uncorrected energy, the calculation gives -5.24 eV/atom.

The space group is R3m (No. 160, hexagonal axes) and the conventional cell measures 4.1197, 4.1197 and 13.7110 Å, with angles of 90.00, 90.00 and 120.00 degrees. The asymmetric unit holds Sc at (0.0000, 0.0000, 0.0000), Co at (0.0000, 0.0000, 0.4330), Co at (0.0000, 0.0000, 0.7808) and Hg at (0.0000, 0.0000, 0.2137).